A PBEsol-optimized structure of BaSiMo2, computed with meta-GGA SCAN.

a b c (Å): 4.5518 4.5518 3.4141
angles (deg): 90.00 90.00 90.00
Space group P4/mmm (No. 123)
One atom of each set of equivalent atoms:
Ba: 0.0000 0.0000 0.0000 (multiplicity 1)
Si: 0.5000 0.5000 0.0000 (multiplicity 1)
Mo: 0.0000 0.5000 0.5000 (multiplicity 2)

Values from the calculation:
formation energy from raw total energies	1.28	eV/atom

A PBEsol-optimized structure of Cd4HgSe5, computed with meta-GGA SCAN.

a b c (Å): 4.3105 4.3105 35.1794
angles (deg): 90.00 90.00 120.00
Space group P3m1 (No. 156)
One atom of each set of equivalent atoms:
Cd: 0.0000 0.0000 0.0000 (multiplicity 1)
Cd: 0.0000 0.0000 0.1994 (multiplicity 1)
Cd: 0.0000 0.0000 0.3988 (multiplicity 1)
Cd: 0.0000 0.0000 0.5980 (multiplicity 1)
Cd: 0.0000 0.0000 0.7990 (multiplicity 1)
Cd: 0.6667 0.3333 0.0998 (multiplicity 1)
Cd: 0.6667 0.3333 0.2991 (multiplicity 1)
Cd: 0.6667 0.3333 0.4985 (multiplicity 1)
Hg: 0.6667 0.3333 0.6989 (multiplicity 1)
Hg: 0.6667 0.3333 0.9000 (multiplicity 1)
Se: 0.0000 0.0000 0.0750 (multiplicity 1)
Se: 0.0000 0.0000 0.2745 (multiplicity 1)
Se: 0.0000 0.0000 0.4739 (multiplicity 1)
Se: 0.0000 0.0000 0.6732 (multiplicity 1)
Se: 0.0000 0.0000 0.8741 (multiplicity 1)
Se: 0.6667 0.3333 0.1748 (multiplicity 1)
Se: 0.6667 0.3333 0.3742 (multiplicity 1)
Se: 0.6667 0.3333 0.5736 (multiplicity 1)
Se: 0.6667 0.3333 0.7745 (multiplicity 1)
Se: 0.6667 0.3333 0.9754 (multiplicity 1)

Values from the calculation:
formation energy from raw total energies	-0.60	eV/atom

A PBEsol-optimized structure of Si3AgAs, computed with meta-GGA SCAN.

a b c (Å): 4.7344 4.7344 4.7344
angles (deg): 90.00 90.00 90.00
Space group Pm-3m (No. 221)
One atom of each set of equivalent atoms:
Si: 0.0000 0.0000 0.5000 (multiplicity 3)
Ag: 0.0000 0.0000 0.0000 (multiplicity 1)
As: 0.5000 0.5000 0.5000 (multiplicity 1)

Values from the calculation:
formation energy from raw total energies	1.28	eV/atom

A PBEsol-optimized structure of YHf3Pd, computed with meta-GGA SCAN.

a b c (Å): 5.0155 5.0155 5.0155
angles (deg): 90.00 90.00 90.00
Space group Pm-3m (No. 221)
One atom of each set of equivalent atoms:
Y: 0.0000 0.0000 0.0000 (multiplicity 1)
Hf: 0.0000 0.5000 0.5000 (multiplicity 3)
Pd: 0.5000 0.5000 0.5000 (multiplicity 1)

Values from the calculation:
ΔH_f (0 K)	0.27	eV per atom

A PBEsol-optimized structure of ZnAg2Te, computed with meta-GGA SCAN.

a b c (Å): 6.7851 6.7851 6.7851
angles (deg): 90.00 90.00 90.00
Space group Fm-3m (No. 225)
One atom of each set of equivalent atoms:
Zn: 0.0000 0.0000 0.0000 (multiplicity 4)
Ag: 0.2500 0.2500 0.2500 (multiplicity 8)
Te: 0.0000 0.0000 0.5000 (multiplicity 4)

Values from the calculation:
formation energy from raw total energies	0.20	eV/atom

A PBEsol-optimized structure of Mg2PPb, computed with meta-GGA SCAN.

a b c (Å): 3.8685 3.8685 21.3663
angles (deg): 90.00 90.00 120.00
Space group R-3m (No. 166, hexagonal axes)
One atom of each set of equivalent atoms:
Mg: 0.0000 0.0000 0.2236 (multiplicity 6)
P: 0.0000 0.0000 0.5000 (multiplicity 3)
Pb: 0.0000 0.0000 0.0000 (multiplicity 3)

Values from the calculation:
ΔH_f (0 K)	-0.37	eV per atom

A PBEsol-optimized structure of PbSCl2F, computed with meta-GGA SCAN.

a b c (Å): 5.1763 5.1763 5.3708
angles (deg): 90.00 90.00 90.00
Space group P4/mmm (No. 123)
One atom of each set of equivalent atoms:
Pb: 0.0000 0.0000 0.0000 (multiplicity 1)
S: 0.0000 0.0000 0.5000 (multiplicity 1)
Cl: 0.0000 0.5000 0.0000 (multiplicity 2)
F: 0.5000 0.5000 0.5000 (multiplicity 1)

Values from the calculation:
formation energy from raw total energies	0.01	eV/atom

A PBEsol-optimized structure of MgNiAg2, computed with meta-GGA SCAN.

a b c (Å): 2.8475 2.8475 26.4555
angles (deg): 90.00 90.00 120.00
Space group R-3m (No. 166, hexagonal axes)
One atom of each set of equivalent atoms:
Mg: 0.0000 0.0000 0.0000 (multiplicity 3)
Ni: 0.0000 0.0000 0.5000 (multiplicity 3)
Ag: 0.0000 0.0000 0.2452 (multiplicity 6)

Values from the calculation:
ΔH_f (0 K)	0.17	eV per atom

Summary of density in g/cm3
8.4; 6.1; 4.2; 9.6; 8.7; 5.2; 3.8; 8.0
(order as listed above)